1.
## BaInSn3 (PBE)

Data for a geometry-optimized BaInSn3 structure.

Output
DFT formation energy (meV per atom): 40
Relative energy among the computed polymorphs (eV/atom): 0.381

Cell: 5.718 5.718 5.718 Å, 90.00 90.00 90.00°
Element x y z (fractional)
Ba: 0.000 0.000 0.000
In: 0.500 0.500 0.500
Sn: 0.000 0.500 0.500
Sn: 0.500 0.000 0.500
Sn: 0.500 0.500 0.000

2.
## KErCuCl5 (PBE)

Data for a geometry-optimized KErCuCl5 structure.

Output
Uncorrected energy (eV per cell): -65.9

Cell: 7.304 7.304 9.874 Å, 103.42 103.42 107.11°
Element x y z (fractional)
K: 0.151 0.849 0.750
K: 0.849 0.151 0.250
Er: 0.500 0.500 0.000
Er: 0.500 0.500 0.500
Cu: 0.189 0.811 0.250
Cu: 0.811 0.189 0.750
Cl: 0.123 0.255 0.927
Cl: 0.190 0.593 0.389
Cl: 0.255 0.123 0.427
Cl: 0.407 0.810 0.111
Cl: 0.420 0.580 0.750
Cl: 0.580 0.420 0.250
Cl: 0.593 0.190 0.889
Cl: 0.745 0.877 0.573
Cl: 0.810 0.407 0.611
Cl: 0.877 0.745 0.073

3.
## Rh2WBr (PBE)

Data for a geometry-optimized Rh2WBr structure.

Output
Relative energy among the computed polymorphs (eV/atom): 0.561

Cell: 4.849 4.849 2.878 Å, 90.12 90.12 109.70°
Element x y z (fractional)
Rh: 0.000 0.500 0.000
Rh: 0.500 0.000 0.000
W: 0.000 0.000 0.500
Br: 0.500 0.500 0.500

4.
## Li3Mo2 (PBE)

Data for a geometry-optimized Li3Mo2 structure.

Output
DFT formation energy (meV per atom): 401

Cell: 12.666 12.666 12.666 Å, 12.20 12.20 12.20°
Element x y z (fractional)
Li: 0.000 0.000 0.000
Li: 0.201 0.201 0.201
Li: 0.799 0.799 0.799
Mo: 0.400 0.400 0.400
Mo: 0.600 0.600 0.600

5.
## Tl2TeHS4 (PBE)

Data for a geometry-optimized Tl2TeHS4 structure.

Output
Uncorrected energy (eV per cell): -54.3

Cell: 7.250 7.250 7.966 Å, 98.27 98.27 74.02°
Element x y z (fractional)
Tl: 0.000 0.000 0.000
Tl: 0.000 0.000 0.500
Tl: 0.000 0.500 0.000
Tl: 0.500 0.000 0.500
Te: 0.000 0.500 0.500
Te: 0.500 0.000 0.000
H: 0.500 0.500 0.000
H: 0.500 0.500 0.500
S: 0.147 0.202 0.286
S: 0.202 0.147 0.786
S: 0.285 0.638 0.446
S: 0.362 0.715 0.054
S: 0.638 0.285 0.946
S: 0.715 0.362 0.554
S: 0.798 0.853 0.214
S: 0.853 0.798 0.714

6.
## Pd3Pt12Rh (PBE)

Data for a geometry-optimized Pd3Pt12Rh structure.

Output
DFT formation energy (meV per atom): -28

Cell: 3.953 3.953 15.860 Å, 90.00 90.00 90.00°
Element x y z (fractional)
Pd: 0.000 0.000 0.000
Pd: 0.000 0.000 0.252
Pd: 0.000 0.000 0.748
Pt: 0.000 0.500 0.126
Pt: 0.000 0.500 0.377
Pt: 0.000 0.500 0.623
Pt: 0.000 0.500 0.874
Pt: 0.500 0.000 0.126
Pt: 0.500 0.000 0.377
Pt: 0.500 0.000 0.623
Pt: 0.500 0.000 0.874
Pt: 0.500 0.500 0.000
Pt: 0.500 0.500 0.250
Pt: 0.500 0.500 0.500
Pt: 0.500 0.500 0.750
Rh: 0.000 0.000 0.500

7.
## Ho7Th2 (PBE)

Data for a geometry-optimized Ho7Th2 structure.

Output
DFT formation energy (meV per atom): 28

Cell: 6.136 6.136 8.662 Å, 90.00 90.00 120.00°
Element x y z (fractional)
Ho: 0.000 0.000 0.000
Ho: 0.000 0.336 0.669
Ho: 0.000 0.664 0.331
Ho: 0.336 0.000 0.669
Ho: 0.336 0.336 0.331
Ho: 0.664 0.000 0.331
Ho: 0.664 0.664 0.669
Th: 0.333 0.667 0.000
Th: 0.667 0.333 0.000

8.
## MnNb6Al2 (PBE)

Data for a geometry-optimized MnNb6Al2 structure.

Output
DFT formation energy (meV per atom): 374

Cell: 7.365 7.365 7.365 Å, 144.93 129.94 62.59°
Element x y z (fractional)
Mn: 0.000 0.000 0.000
Nb: 0.089 0.847 0.242
Nb: 0.234 0.500 0.734
Nb: 0.395 0.153 0.242
Nb: 0.605 0.847 0.758
Nb: 0.766 0.500 0.266
Nb: 0.911 0.153 0.758
Al: 0.331 0.331 0.000
Al: 0.669 0.669 0.000

| no. | size of the total moment (μB/f.u.) |
| --- | --- |
| 1 | 0.00 |
| 2 | 0.15 |
| 3 | 0.00 |
| 4 | 0.00 |
| 5 | 0.00 |
| 6 | 0.08 |
| 7 | 0.00 |
| 8 | 0.00 |